No. 1
# RbTl2CuBr4

A relaxed RbTl2CuBr4 crystal (PBE, Alexandria via LeMat-Bulk).

It has space group C2/c (No. 15), with a = 13.912 Å, b = 12.827 Å, c = 9.754 Å, α = 90.00°, β = 134.31° and γ = 90.00°. The distinct sites, in fractional coordinates, are Rb at (0.250, 0.250, 0.000), Tl at (0.000, 0.000, 0.000), Tl at (0.250, 0.250, 0.500), Cu at (0.000, 0.500, 0.000), Br at (0.000, 0.320, 0.005) and Br at (0.216, 0.004, 0.465).

As for the crystal system: monoclinic. As for the uncorrected formation energy: -6.9 eV per formula unit.

***

No. 2
# Ba2ZrAs

A relaxed Ba2ZrAs crystal (PBE, Alexandria via LeMat-Bulk).

It has space group P4mm (No. 99), with a = 3.837 Å, b = 3.837 Å, c = 9.726 Å, α = 90.00°, β = 90.00° and γ = 90.00°. The distinct sites, in fractional coordinates, are Ba at (0.000, 0.000, 0.000), Ba at (0.500, 0.500, 0.390), Zr at (0.000, 0.000, 0.667) and As at (0.500, 0.500, 0.734).

As for the crystal system: tetragonal. As for the formation energy: -352 meV per atom.

***

No. 3
# Pu2Al3ZnGa4

A relaxed Pu2Al3ZnGa4 crystal (PBE, Alexandria via LeMat-Bulk).

It has space group P-4m2 (No. 115), with a = 4.203 Å, b = 4.203 Å, c = 10.913 Å, α = 90.00°, β = 90.00° and γ = 90.00°. The distinct sites, in fractional coordinates, are Pu at (0.000, 0.500, 0.246), Al at (0.000, 0.500, 0.861), Al at (0.500, 0.500, 0.500), Zn at (0.000, 0.000, 0.500), Ga at (0.000, 0.000, 0.000), Ga at (0.000, 0.500, 0.637) and Ga at (0.500, 0.500, 0.000).

As for the crystal system: tetragonal. As for the formation energy: -263 meV per atom.

***

No. 4
# ScRe3B

A relaxed ScRe3B crystal (PBE, Alexandria via LeMat-Bulk).

It has space group Pm-3m (No. 221), with a = 4.198 Å, b = 4.198 Å, c = 4.198 Å, α = 90.00°, β = 90.00° and γ = 90.00°. The distinct sites, in fractional coordinates, are Sc at (0.000, 0.000, 0.000), Re at (0.000, 0.500, 0.500) and B at (0.500, 0.500, 0.500).

As for the crystal system: cubic. As for the relative energy among the computed polymorphs: 0.000 eV per atom. As for the formation energy: 58 meV per atom.

***

No. 5
# Cr2ReTc

A relaxed Cr2ReTc crystal (PBE, Alexandria via LeMat-Bulk).

It has space group P2/m (No. 10), with a = 2.614 Å, b = 4.173 Å, c = 5.000 Å, α = 90.00°, β = 99.63° and γ = 90.00°. The distinct sites, in fractional coordinates, are Cr at (0.232, 0.000, 0.248), Re at (0.000, 0.500, 0.500) and Tc at (0.500, 0.500, 0.000).

As for the crystal system: monoclinic. As for the formation energy: 119 meV per atom.

***

No. 6
# ZrScCu2Os

A relaxed ZrScCu2Os crystal (PBE, Alexandria via LeMat-Bulk).

It has space group P4/mmm (No. 123), with a = 4.755 Å, b = 4.755 Å, c = 4.845 Å, α = 90.00°, β = 90.00° and γ = 90.00°. The distinct sites, in fractional coordinates, are Zr at (0.000, 0.000, 0.000), Sc at (0.500, 0.500, 0.500), Cu at (0.000, 0.500, 0.000) and Os at (0.000, 0.000, 0.500).

As for the crystal system: tetragonal. As for the formation energy: 1054 meV per atom.

***

No. 7
# PrSm2DySc

A relaxed PrSm2DySc crystal (PBE, Alexandria via LeMat-Bulk).

It has space group Pmma (No. 51), with a = 6.216 Å, b = 7.838 Å, c = 6.683 Å, α = 90.00°, β = 90.00° and γ = 90.00°. The distinct sites, in fractional coordinates, are Pr at (0.250, 0.000, 0.194), Sm at (0.250, 0.211, 0.716), Dy at (0.250, 0.500, 0.400) and Sc at (0.000, 0.500, 0.000).

As for the crystal system: orthorhombic. As for the formation energy: 223 meV per atom.

***

No. 8
# Cu4NiRu

A relaxed Cu4NiRu crystal (PBE, Alexandria via LeMat-Bulk).

It has space group F-43m (No. 216), with a = 6.675 Å, b = 6.675 Å, c = 6.675 Å, α = 90.00°, β = 90.00° and γ = 90.00°. The distinct sites, in fractional coordinates, are Cu at (0.125, 0.125, 0.125), Ni at (0.250, 0.250, 0.750) and Ru at (0.000, 0.000, 0.500).

As for the crystal system: cubic. As for the formation energy: 295 meV per atom.